The following is a DFT calculation (GGA-PBE) of a relaxed structure of KRb2CeH6.

The space group is Fm-3m, No. 225.

Cell: 6.8975 6.8975 6.8975 Å, 60.00 60.00 60.00°
With the nearest neighbours (Å) after each atom.
Atoms (fractional coordinates):
K 0.0000 0.0000 0.0000  6 H 2.58
Rb 0.2500 0.2500 0.2500  12 H 3.45
Rb 0.7500 0.7500 0.7500  12 H 3.45
Ce 0.5000 0.5000 0.5000  6 H 2.29
H 0.2649 0.2649 0.7351  1 Ce 2.29
H 0.2649 0.7351 0.2649  1 Ce 2.29
H 0.2649 0.7351 0.7351  1 Ce 2.29
H 0.7351 0.2649 0.2649  1 Ce 2.29
H 0.7351 0.2649 0.7351  1 Ce 2.29
H 0.7351 0.7351 0.2649  1 Ce 2.29

The following is a DFT calculation (GGA-PBE) of a relaxed structure of K2CeH12Rh3.

The space group is R-3m, No. 166.

Cell: 6.3402 6.3402 6.3402 Å, 64.19 64.19 64.19°
With the nearest neighbours (Å) after each atom.
Atoms (fractional coordinates):
K 0.1077 0.1077 0.1077  3 H 2.45
K 0.8923 0.8923 0.8923  3 H 2.45
Ce 0.5000 0.5000 0.5000  6 H 2.33
H 0.0724 0.6284 0.6284  1 Rh 1.66
H 0.2192 0.2192 0.6010  2 Rh 1.77
H 0.2192 0.6010 0.2192  2 Rh 1.77
H 0.3716 0.3716 0.9276  1 Rh 1.66
H 0.3716 0.9276 0.3716  1 Rh 1.66
H 0.3990 0.7808 0.7808  2 Rh 1.77
H 0.6010 0.2192 0.2192  2 Rh 1.77
H 0.6284 0.0724 0.6284  1 Rh 1.66
H 0.6284 0.6284 0.0724  1 Rh 1.66
H 0.7808 0.3990 0.7808  2 Rh 1.77
H 0.7808 0.7808 0.3990  2 Rh 1.77
H 0.9276 0.3716 0.3716  1 Rh 1.66
Rh 0.0000 0.5000 0.5000  6 H 1.66-1.77
Rh 0.5000 0.0000 0.5000  6 H 1.66-1.77
Rh 0.5000 0.5000 0.0000  6 H 1.66-1.77

no.,calculated density (g cm⁻³),uncorrected energy (eV for the cell shown),DOS(E_F) (states/eV/cell)
1,2.55,-30.456,8.666
2,4.55,-75.814,9.167